A relaxed CsUB2O8 crystal. Source: the Alexandria database, functional GGA-PBE.

The structure belongs to space group C2/m (No. 12); the cell edges are 9.290, 5.298 and 8.609 Å and the angles 90.00°, 93.40° and 90.00°. The asymmetric unit holds Cs at (0.000, 0.000, 0.000), U at (0.000, 0.000, 0.500), B at (0.150, 0.500, 0.308), O at (0.069, 0.274, 0.351), O at (0.173, 0.500, 0.145) and O at (0.202, 0.000, 0.624).

The uncorrected formation energy is -2.03 eV per atom.